(1)
Material: BaSr2Ir
Method: DFT, PBE-GGA
State: relaxed

Summary:
For the formation energy, the calculation gives -82.1 meV per atom. The calculation puts the volume at 42.2 A^3/atom. As for the space group: Cm. For the total energy, the calculation gives -14.48 eV per cell. As for the density: 4.96 g/cm³. Its size of the total moment is 0.0000 μB/atom. For the distance to the lowest polymorph of the same formula, the calculation gives 0.0759 eV per atom.

abc: 6.0899 6.0899 7.7623
angles: 111.97 111.97 39.78
With the nearest neighbours (Å) after each atom.
Sites, in units of the cell vectors:
Ba 0.0000 0.0000 0.0000  2 Ir 3.07
Sr 0.6534 0.6534 0.6851  3 Ir 3.21-3.27
Sr 0.8390 0.8390 0.3988  2 Ir 2.99
Ir 0.3691 0.3691 0.6910  5 Sr 2.99-3.27, 2 Ba 3.07

***

(2)
Material: Ba2Sr8Ir
Method: DFT, PBE-GGA
State: relaxed

Summary:
For the formation energy, the calculation gives -42.2 meV per atom. The calculation puts the volume at 52.9 A^3/atom. As for the space group: C2/m. For the total energy, the calculation gives -26.63 eV per cell. As for the density: 3.33 g/cm³. Its size of the total moment is 0.0000 μB/atom.

abc: 11.1467 11.1467 7.1788
angles: 108.45 108.45 43.95
With the nearest neighbours (Å) after each atom.
Sites, in units of the cell vectors:
Ba 0.1326 0.1326 0.4110  1 Ir 3.02
Ba 0.8674 0.8674 0.5890  1 Ir 3.02
Sr 0.1927 0.6929 0.2008  1 Ir 2.94
Sr 0.2495 0.2495 0.0324  8 Sr 4.13-4.30, 2 Ba 4.21-4.29
Sr 0.3071 0.8073 0.7992  1 Ir 2.94
Sr 0.3588 0.3588 0.6332  8 Sr 4.13-4.55, 3 Ba 4.19-4.40
Sr 0.6412 0.6412 0.3668  8 Sr 4.13-4.55, 3 Ba 4.19-4.40
Sr 0.6929 0.1927 0.2008  1 Ir 2.94
Sr 0.7505 0.7505 0.9676  8 Sr 4.13-4.30, 2 Ba 4.21-4.29
Sr 0.8073 0.3071 0.7992  1 Ir 2.94
Ir 0.0000 0.0000 0.5000  4 Sr 2.94, 2 Ba 3.02

***

(3)
Material: BaSr2Ir
Method: DFT, PBE-GGA
State: relaxed

Summary:
For the formation energy, the calculation gives 30.8 meV per atom. The calculation puts the volume at 38.8 A^3/atom. As for the space group: P4/mmm. For the total energy, the calculation gives -14.02 eV per cell. As for the density: 5.40 g/cm³. Its size of the total moment is 0.1345 μB/atom. For the distance to the lowest polymorph of the same formula, the calculation gives 0.1888 eV per atom.

abc: 3.7863 3.7863 10.8253
angles: 90.00 90.00 90.00
With the nearest neighbours (Å) after each atom.
Sites, in units of the cell vectors:
Ba 0.0000 0.0000 0.0000  4 Ba 3.79
Sr 0.5000 0.5000 0.3444  4 Ir 3.16, 1 Sr 3.37
Sr 0.5000 0.5000 0.6556  4 Ir 3.16, 1 Sr 3.37
Ir 0.0000 0.0000 0.5000  8 Sr 3.16

***

(4)
Material: Ba2SrIr2
Method: DFT, PBE-GGA
State: relaxed

Summary:
For the formation energy, the calculation gives 23.5 meV per atom. The calculation puts the volume at 31.9 A^3/atom. As for the space group: P4/mbm. For the total energy, the calculation gives -46.26 eV per cell. As for the density: 7.77 g/cm³. Its size of the total moment is 0.1562 μB/atom.

abc: 8.0679 8.0679 4.9039
angles: 90.00 90.00 90.00
With the nearest neighbours (Å) after each atom.
Sites, in units of the cell vectors:
Ba 0.1695 0.3305 0.0000  6 Ir 3.36-3.52
Ba 0.3305 0.8305 0.0000  6 Ir 3.36-3.52
Ba 0.6695 0.1695 0.0000  6 Ir 3.36-3.52
Ba 0.8305 0.6695 0.0000  6 Ir 3.36-3.52
Sr 0.0000 0.0000 0.5000  4 Ir 3.27
Sr 0.5000 0.5000 0.5000  4 Ir 3.27
Ir 0.1093 0.6093 0.5000  1 Ir 2.49
Ir 0.3907 0.1093 0.5000  1 Ir 2.49
Ir 0.6093 0.8907 0.5000  1 Ir 2.49
Ir 0.8907 0.3907 0.5000  1 Ir 2.49

***

(5)
Material: Ba4Sr2Ir
Method: DFT, PBE-GGA
State: relaxed

Summary:
For the formation energy, the calculation gives 34.5 meV per atom. The calculation puts the volume at 58.2 A^3/atom. As for the space group: I4/mmm. For the total energy, the calculation gives -19.67 eV per cell. As for the density: 3.74 g/cm³. Its size of the total moment is 0.0000 μB/atom. For the distance to the lowest polymorph of the same formula, the calculation gives 0.1770 eV per atom.

abc: 11.4681 11.4681 11.4681
angles: 148.64 148.64 44.94
With the nearest neighbours (Å) after each atom.
Sites, in units of the cell vectors:
Ba 0.0000 0.5000 0.5000  2 Ir 3.10
Ba 0.1416 0.1416 0.0000  1 Ir 3.00
Ba 0.5000 0.0000 0.5000  2 Ir 3.10
Ba 0.8584 0.8584 0.0000  1 Ir 3.00
Sr 0.3413 0.3413 0.0000  9 Ba 4.23-4.57
Sr 0.6587 0.6587 0.0000  9 Ba 4.23-4.57
Ir 0.0000 0.0000 0.0000  6 Ba 3.00-3.10

***

(6)
Material: Ba4Sr2Ir
Method: DFT, PBE-GGA
State: relaxed

Summary:
For the formation energy, the calculation gives -142.5 meV per atom. The calculation puts the volume at 54.1 A^3/atom. As for the space group: P-1. For the total energy, the calculation gives -20.91 eV per cell. As for the density: 4.02 g/cm³. Its size of the total moment is 0.0000 μB/atom. For the distance to the lowest polymorph of the same formula, the calculation gives 0.0000 eV per atom.

abc: 7.6561 7.7328 8.5426
angles: 63.77 63.79 60.69
With the nearest neighbours (Å) after each atom.
Sites, in units of the cell vectors:
Ba 0.0880 0.3955 0.2605  1 Ir 3.04
Ba 0.4006 0.7597 0.2624  1 Ir 3.04
Ba 0.5994 0.2403 0.7376  1 Ir 3.04
Ba 0.9120 0.6045 0.7395  1 Ir 3.04
Sr 0.2356 0.9250 0.7368  1 Ir 2.97
Sr 0.7644 0.0750 0.2632  1 Ir 2.97
Ir 0.0000 0.0000 0.5000  2 Sr 2.97, 4 Ba 3.04

***

(7)
Material: Ba5Sr2Ir
Method: DFT, PBE-GGA
State: relaxed

Summary:
For the formation energy, the calculation gives 53.0 meV per atom. The calculation puts the volume at 58.5 A^3/atom. As for the space group: Cm. For the total energy, the calculation gives -21.41 eV per cell. As for the density: 3.74 g/cm³. Its size of the total moment is 0.0000 μB/atom.

abc: 8.6275 8.6275 8.6271
angles: 102.45 102.45 124.66
With the nearest neighbours (Å) after each atom.
Sites, in units of the cell vectors:
Ba 0.0000 0.0000 0.0000  1 Ir 3.01
Ba 0.3495 0.3495 0.6214  1 Ir 2.98
Ba 0.3488 0.7277 0.0005  1 Ir 2.98
Ba 0.7277 0.3488 0.0005  1 Ir 2.98
Ba 0.7278 0.7278 0.3793  1 Ir 2.97
Sr 0.2861 0.7863 0.5005  2 Sr 4.01, 8 Ba 4.40-4.42
Sr 0.7863 0.2861 0.5005  2 Sr 4.01, 8 Ba 4.40-4.42
Ir 0.6247 0.6247 0.0007  5 Ba 2.97-3.01

***

(8)
Material: BaSrIr2
Method: DFT, PBE-GGA
State: relaxed

Summary:
For the formation energy, the calculation gives 172.6 meV per atom. The calculation puts the volume at 29.8 A^3/atom. As for the space group: P4mm. For the total energy, the calculation gives -20.64 eV per cell. As for the density: 8.48 g/cm³. Its size of the total moment is 0.0001 μB/atom. For the distance to the lowest polymorph of the same formula, the calculation gives 0.3886 eV per atom.

abc: 3.6191 3.6191 9.1159
angles: 90.00 90.00 90.00
With the nearest neighbours (Å) after each atom.
Sites, in units of the cell vectors:
Ba 0.0000 0.0000 0.0000  1 Ir 2.99
Sr 0.5000 0.5000 0.5759  1 Ir 2.86
Ir 0.0000 0.0000 0.3284  4 Ir 2.63
Ir 0.5000 0.5000 0.2621  4 Ir 2.63, 1 Sr 2.86

***

(9)
Material: BaSrIr2
Method: DFT, PBE-GGA
State: relaxed

Summary:
For the formation energy, the calculation gives 550.4 meV per atom. The calculation puts the volume at 25.7 A^3/atom. As for the space group: I-42d. For the total energy, the calculation gives -38.25 eV per cell. As for the density: 9.85 g/cm³. Its size of the total moment is 0.0000 μB/atom. For the distance to the lowest polymorph of the same formula, the calculation gives 0.7664 eV per atom.

abc: 6.5968 6.5968 6.5968
angles: 101.57 101.57 126.78
With the nearest neighbours (Å) after each atom.
Sites, in units of the cell vectors:
Ba 0.0000 0.0000 0.0000  2 Sr 2.95, 4 Ir 3.08
Ba 0.7500 0.2500 0.5000  2 Sr 2.95, 4 Ir 3.08
Sr 0.2500 0.7500 0.5000  2 Ba 2.95, 4 Ir 3.00
Sr 0.5000 0.5000 0.0000  2 Ba 2.95, 4 Ir 3.00
Ir 0.1313 0.6250 0.0063  2 Ir 2.96, 2 Sr 3.00, 2 Ba 3.08
Ir 0.3750 0.3813 0.5063  2 Ir 2.96, 2 Sr 3.00, 2 Ba 3.08
Ir 0.6187 0.1250 0.9937  2 Ir 2.96, 2 Sr 3.00, 2 Ba 3.08
Ir 0.8750 0.8687 0.4937  2 Ir 2.96, 2 Sr 3.00, 2 Ba 3.08

***

(10)
Material: BaSrIr2
Method: DFT, PBE-GGA
State: relaxed

Summary:
For the formation energy, the calculation gives 314.0 meV per atom. The calculation puts the volume at 25.6 A^3/atom. As for the space group: Pmmm. For the total energy, the calculation gives -20.07 eV per cell. As for the density: 9.88 g/cm³. Its size of the total moment is 0.1466 μB/atom. For the distance to the lowest polymorph of the same formula, the calculation gives 0.5299 eV per atom.

abc: 3.4000 4.3716 6.8910
angles: 90.00 90.00 90.00
With the nearest neighbours (Å) after each atom.
Sites, in units of the cell vectors:
Ba 0.0000 0.0000 0.0000  2 Ba 3.40, 2 Sr 3.45, 8 Ir 3.47
Sr 0.0000 0.0000 0.5000  8 Ir 3.08, 2 Sr 3.40, 2 Ba 3.45
Ir 0.5000 0.5000 0.3034  1 Ir 2.71
Ir 0.5000 0.5000 0.6966  1 Ir 2.71

***

(11)
Material: BaSr2Ir2
Method: DFT, PBE-GGA
State: relaxed

Summary:
For the formation energy, the calculation gives 62.7 meV per atom. The calculation puts the volume at 27.9 A^3/atom. As for the space group: P4/mbm. For the total energy, the calculation gives -45.39 eV per cell. As for the density: 8.31 g/cm³. Its size of the total moment is 0.0000 μB/atom. For the distance to the lowest polymorph of the same formula, the calculation gives 0.0170 eV per atom.

abc: 8.7491 8.7491 3.6398
angles: 90.00 90.00 90.00
With the nearest neighbours (Å) after each atom.
Sites, in units of the cell vectors:
Ba 0.0000 0.0000 0.0000  4 Ir 3.27, 2 Ba 3.64
Ba 0.5000 0.5000 0.0000  4 Ir 3.27, 2 Ba 3.64
Sr 0.1340 0.3660 0.5000  6 Ir 3.08-3.20, 1 Sr 3.32
Sr 0.3660 0.8660 0.5000  6 Ir 3.08-3.20, 1 Sr 3.32
Sr 0.6340 0.1340 0.5000  6 Ir 3.08-3.20, 1 Sr 3.32
Sr 0.8660 0.6340 0.5000  6 Ir 3.08-3.20, 1 Sr 3.32
Ir 0.1651 0.6651 0.0000  6 Sr 3.08-3.20, 2 Ba 3.27
Ir 0.3349 0.1651 0.0000  6 Sr 3.08-3.20, 2 Ba 3.27
Ir 0.6651 0.8349 0.0000  6 Sr 3.08-3.20, 2 Ba 3.27
Ir 0.8349 0.3349 0.0000  6 Sr 3.08-3.20, 2 Ba 3.27

***

(12)
Material: BaSrIr2
Method: DFT, PBE-GGA
State: relaxed

Summary:
For the formation energy, the calculation gives 352.2 meV per atom. The calculation puts the volume at 24.6 A^3/atom. As for the space group: P4/mmm. For the total energy, the calculation gives -19.92 eV per cell. As for the density: 10.30 g/cm³. Its size of the total moment is 0.0000 μB/atom. For the distance to the lowest polymorph of the same formula, the calculation gives 0.5682 eV per atom.

abc: 3.3847 3.3847 8.5763
angles: 90.00 90.00 90.00
With the nearest neighbours (Å) after each atom.
Sites, in units of the cell vectors:
Ba 0.0000 0.0000 0.0000  8 Ir 3.27, 4 Ba 3.38
Sr 0.0000 0.0000 0.5000  8 Ir 3.15, 4 Sr 3.38
Ir 0.5000 0.5000 0.2604  4 Sr 3.15, 4 Ba 3.27, 4 Ir 3.38
Ir 0.5000 0.5000 0.7396  4 Sr 3.15, 4 Ba 3.27, 4 Ir 3.38

***

Q: The lowest volume belongs to which entry?
A: number 12